{
  "formula": "Na2CrAs2O6",
  "functional": "PBE with a Hubbard U",
  "state": "relaxed",
  "lattice": [[-0.4446, 0.5343, -5.6926], [2.1391, -4.0620, -3.4371], [-4.6053, -4.0148, -2.9059]],
  "species": ["Na", "Na", "Cr", "As", "As", "O", "O", "O", "O", "O", "O"],
  "frac_coords": [[0.8156, 0.8156, 0.5532], [0.1844, 0.1844, 0.4468], [0.0000, 0.0000, 0.0000], [0.4284, 0.4284, 0.7149], [0.5716, 0.5716, 0.2851], [0.7645, 0.7645, 0.2237], [0.2473, 0.7645, 0.2237], [0.7645, 0.2473, 0.2237], [0.2355, 0.7527, 0.7763], [0.7527, 0.2355, 0.7763], [0.2355, 0.2355, 0.7763]],
  "total_energy_ev_per_atom": -5.83,
  "mass_density_g_cm3": 3.397
}